# 1
Crystalline RbSnBi at its relaxed geometry. Source: Alexandria, functional PBE-GGA.

Structure (POSCAR):
```
RbSnBi
1.0
5.329 0.000 0.000
-2.665 4.615 0.000
0.000 0.000 5.422
Rb Sn Bi
1 1 1
Cartesian
0.000 0.000 0.000
0.000 3.077 2.711
2.665 1.538 2.711
```

SG = P-6m2 (187)
Electronic total energy = -3.12 eV/atom

***

# 2
Crystalline Cu4TcNi at its relaxed geometry. Source: Alexandria, functional PBE-GGA.

Structure (POSCAR):
```
Cu4TcNi
1.0
0.000 3.348 3.348
3.348 0.000 3.348
3.348 3.348 0.000
Cu Tc Ni
4 1 1
Cartesian
0.836 0.836 0.836
2.512 2.512 0.836
2.512 0.836 2.512
0.836 2.512 2.512
3.348 3.348 3.348
5.022 5.022 5.022
```

SG = F-43m (216)
Electronic total energy = -5.13 eV/atom

***

Summary of E_form in eV per atom
-0.165, 0.297
(order as listed above)